# 1
Tm2PaIn | Alexandria | PBE | relaxed; E_form = -0.157 eV per formula unit; E above lowest polymorph = 94 meV per atom; total moment = 0.000 μB/cell
1.0
4.8128 0.0000 0.0000
0.0000 4.8128 0.0000
0.0000 0.0000 4.5460
Tm Pa In
2 1 1
Cartesian
0.0000 2.4064 0.0000 Tm
2.4064 0.0000 0.0000 Tm
0.0000 0.0000 2.2730 Pa
2.4064 2.4064 2.2730 In



# 2
Re2RuRh | Alexandria | PBE | relaxed; E_form = -0.434 eV per formula unit; E above lowest polymorph = 38 meV per atom; total moment = 0.000 μB/cell
1.0
5.4880 0.0000 0.0000
2.7370 4.7974 0.0000
1.3713 2.3845 8.7658
Re Ru Rh
8 4 4
Cartesian
1.3664 1.6266 3.2579 Re
2.7450 3.9878 7.6869 Re
4.1135 3.1940 1.0869 Re
5.4770 5.5564 5.4958 Re
4.1192 1.6255 3.2700 Re
5.4827 3.9879 7.6790 Re
6.8512 3.1941 1.0790 Re
8.2298 5.5553 5.5079 Re
2.7377 0.8270 1.1050 Ru
4.1071 3.2078 5.4959 Ru
5.4892 3.9742 3.2699 Ru
6.8585 6.3549 7.6609 Ru
2.7385 3.9945 3.2820 Rh
4.1119 6.3919 7.6583 Rh
5.4843 0.7900 1.1076 Rh
6.8578 3.1874 5.4839 Rh



# 3
CdPt2W | Alexandria | PBE | relaxed; E_form = 0.495 eV per formula unit; total moment = 0.000 μB/cell
1.0
-2.0171 2.0171 4.0517
2.0171 -2.0171 4.0517
2.0171 2.0171 -4.0517
Cd Pt W
1 2 1
Cartesian
0.0000 0.0000 0.0000 Cd
2.0171 0.0000 2.0259 Pt
0.0000 0.0000 4.0517 Pt
0.0000 2.0171 2.0259 W



# 4
RbCrRu2 | Alexandria | PBE | relaxed; E_form = 6.772 eV per formula unit; E above lowest polymorph = 208 meV per atom; total moment = 0.000 μB/cell
1.0
0.0000 3.2130 3.2130
3.2130 0.0000 3.2130
3.2130 3.2130 0.0000
Rb Cr Ru
1 1 2
Cartesian
0.0000 0.0000 0.0000 Rb
3.2130 3.2130 3.2130 Cr
1.6065 1.6065 1.6065 Ru
4.8194 4.8194 4.8194 Ru



# 5
Tc2MoOs | Alexandria | PBE | relaxed; E_form = 0.391 eV per formula unit; E above lowest polymorph = 33 meV per atom; total moment = 0.000 μB/cell
1.0
2.7590 0.0000 0.0000
0.0000 2.7590 0.0000
0.0000 0.0000 7.8271
Tc Mo Os
2 1 1
Cartesian
0.0000 0.0000 0.0000 Tc
1.3795 1.3795 1.9247 Tc
0.0000 0.0000 3.9659 Mo
1.3795 1.3795 5.9335 Os



# 6
NaTlSe3 | Alexandria | PBE | relaxed; E above lowest polymorph = 524 meV per atom; formation energy without anion corrections = 114 meV per atom; total moment = 0.000 μB/cell
1.0
5.4678 0.0000 0.0000
0.0000 5.4678 0.0000
0.0000 0.0000 5.4678
Na Tl Se
1 1 3
Cartesian
0.0000 0.0000 0.0000 Na
2.7339 2.7339 2.7339 Tl
0.0000 2.7339 2.7339 Se
2.7339 0.0000 2.7339 Se
2.7339 2.7339 0.0000 Se



# 7
AlCu4Pd5 | Alexandria | PBE | relaxed; E_form = -3.290 eV per formula unit; total moment = 0.000 μB/cell
1.0
3.0552 0.0000 0.0000
0.0000 3.0552 0.0000
0.0000 0.0000 14.8342
Al Cu Pd
1 4 5
Cartesian
0.0000 0.0000 0.0000 Al
0.0000 0.0000 3.0146 Cu
0.0000 0.0000 5.9417 Cu
0.0000 0.0000 8.8924 Cu
0.0000 0.0000 11.8196 Cu
1.5276 1.5276 1.4540 Pd
1.5276 1.5276 4.4518 Pd
1.5276 1.5276 7.4171 Pd
1.5276 1.5276 10.3823 Pd
1.5276 1.5276 13.3802 Pd



# 8
MgAs | Alexandria | PBE | relaxed; E_form = 0.072 eV per formula unit; E above lowest polymorph = 454 meV per atom; total moment = 0.001 μB/cell
1.0
-4.1352 4.1352 4.1352
4.1352 -4.1352 4.1352
4.1352 4.1352 -4.1352
Mg As
4 4
Cartesian
2.9002 2.9002 -2.9002 Mg
2.9002 -2.9002 2.9002 Mg
1.2350 1.2350 1.2350 Mg
-2.9002 2.9002 2.9002 Mg
1.4172 1.4172 -1.4172 As
1.4172 -1.4172 1.4172 As
-1.4172 1.4172 1.4172 As
2.7179 2.7179 2.7179 As



# 9
YMgGa5 | Alexandria | PBE | relaxed; E_form = -1.619 eV per formula unit; total moment = 0.000 μB/cell
1.0
4.0874 0.0000 0.0000
0.0000 4.0874 0.0000
0.0000 0.0000 8.7683
Y Mg Ga
1 1 5
Cartesian
0.0000 0.0000 0.0000 Y
2.0437 2.0437 4.3842 Mg
0.0000 2.0437 2.3025 Ga
0.0000 2.0437 6.4658 Ga
2.0437 0.0000 2.3025 Ga
2.0437 0.0000 6.4658 Ga
2.0437 2.0437 0.0000 Ga



# 10
SiAsNO2 | Alexandria | PBE | relaxed; formation energy without anion corrections = -737 meV per atom; total moment = 0.000 μB/cell
1.0
3.4738 0.0000 0.0000
0.0000 3.4738 0.0000
0.0000 0.0000 3.8834
Si As N O
1 1 1 2
Cartesian
0.0000 0.0000 0.0000 Si
1.7369 1.7369 1.9417 As
0.0000 0.0000 1.9417 N
0.0000 1.7369 0.0000 O
1.7369 0.0000 0.0000 O



# 11
Sc2HgS | Alexandria | PBE | relaxed; E above lowest polymorph = 368 meV per atom; formation energy without anion corrections = -770 meV per atom; total moment = 1.231 μB/cell
1.0
-3.6028 3.6028 3.4306
3.6028 -3.6028 3.4306
3.6028 3.6028 -3.4306
Sc Hg S
4 2 2
Cartesian
5.4042 1.5149 -0.8576 Sc
1.5149 1.8014 0.8576 Sc
-1.8014 2.0879 2.5729 Sc
2.0879 1.8014 4.2882 Sc
3.6028 0.0000 1.7153 Hg
0.0000 0.0000 3.4306 Hg
0.0000 0.0000 0.0000 S
0.0000 3.6028 1.7153 S



# 12
DyTh2Sc | Alexandria | PBE | relaxed; E_form = 0.219 eV per formula unit; E above lowest polymorph = 13 meV per atom; total moment = 0.000 μB/cell
1.0
1.7536 1.0125 11.3015
-1.7536 1.0125 11.3015
0.0000 -2.0249 11.3015
Dy Th Sc
1 2 1
Cartesian
0.0000 0.0000 0.0000 Dy
0.0000 0.0000 19.7569 Th
0.0000 0.0000 25.5833 Th
0.0000 0.0000 5.7707 Sc



# 13
CdTeWBr2 | Alexandria | PBE | relaxed; formation energy without anion corrections = 318 meV per atom; total moment = 1.425 μB/cell
1.0
5.1870 0.0000 0.0000
0.0000 5.1870 0.0000
0.0000 0.0000 5.3717
Cd Te W Br
1 1 1 2
Cartesian
0.0000 0.0000 0.0000 Cd
2.5935 2.5935 0.0000 Te
2.5935 2.5935 2.6859 W
0.0000 2.5935 2.6859 Br
2.5935 0.0000 2.6859 Br



# 14
Ti4SnTe | Alexandria | PBE | relaxed; formation energy without anion corrections = -136 meV per atom; total moment = 0.273 μB/cell
1.0
5.1443 0.0000 0.0000
0.4728 6.6894 0.0000
1.6473 1.9340 7.2352
Ti Sn Te
8 2 2
Cartesian
0.9926 3.5274 2.2074 Ti
2.3162 2.5508 5.2122 Ti
1.9747 0.3965 1.1196 Ti
3.7788 4.3902 6.4247 Ti
3.4855 4.2333 0.8105 Ti
5.2897 8.2270 6.1156 Ti
4.9481 6.0727 2.0230 Ti
6.2718 5.0961 5.0278 Ti
2.6512 6.9074 6.8941 Sn
4.6132 1.7161 0.3411 Sn
0.8236 0.9670 3.6176 Te
3.6322 4.3117 3.6176 Te